No. 1
A geometry-optimized KTlS2 structure. Source: Alexandria, functional GGA-PBE.

Cell: 21.294 5.262 7.680 Å, 90.00 138.88 90.00°
Element x y z (fractional)
1 K 0.767 0.810 0.102
2 K 0.267 0.690 0.602
3 K 0.233 0.190 0.898
4 K 0.733 0.310 0.398
5 S 0.573 0.571 0.812
6 S 0.114 0.698 0.613
7 S 0.614 0.802 0.113
8 S 0.427 0.429 0.188
9 S 0.927 0.071 0.688
10 S 0.386 0.198 0.887
11 S 0.073 0.929 0.312
12 S 0.886 0.302 0.387
13 Tl 0.042 0.630 0.838
14 Tl 0.958 0.370 0.162
15 Tl 0.458 0.130 0.662
16 Tl 0.542 0.870 0.338

Properties
The formation energy (no corrections) is -0.5270 eV per atom. The polymorph energy (0 for the lowest one) is 0.103 eV per atom. Its symmetry is P2_1/c, No. 14. The value obtained for the total energy is -55.31 eV/cell. The total moment is 0.0 μB/f.u.

---

No. 2
A geometry-optimized Ba5LaHg6 structure. Source: Alexandria, functional GGA-PBE.

Cell: 5.850 8.325 9.295 Å, 90.00 71.46 90.00°
Element x y z (fractional)
1 Ba 0.669 0.000 0.662
2 Ba 0.331 0.000 0.338
3 Ba 0.000 0.500 0.000
4 Ba 0.667 0.500 0.665
5 Ba 0.333 0.500 0.335
6 Hg 0.842 0.760 0.316
7 Hg 0.842 0.240 0.316
8 Hg 0.500 0.226 0.000
9 Hg 0.500 0.774 0.000
10 Hg 0.158 0.240 0.684
11 Hg 0.158 0.760 0.684
12 La 0.000 0.000 0.000

Properties
Its symmetry is P2/m, No. 10. The formation energy is -0.51 eV/atom. The value obtained for the total energy is -22.43 eV/cell. The total moment is 0.0 μB/f.u.

---

No. 3
A geometry-optimized Ca3NbTe structure. Source: Alexandria, functional GGA-PBE.

Cell: 5.510 5.510 5.510 Å, 90.00 90.00 90.00°
Element x y z (fractional)
1 Ca 0.000 0.500 0.000
2 Ca 0.500 0.000 0.000
3 Ca 0.000 0.000 0.500
4 Te 0.500 0.500 0.500
5 Nb 0.000 0.000 0.000

Properties
The formation energy (no corrections) is 0.5734 eV per atom. The polymorph energy (0 for the lowest one) is 0.207 eV per atom. Its symmetry is Pm-3m, No. 221. The value obtained for the total energy is -16.35 eV/cell. The total moment is 0.0 μB/f.u.

---

No. 4
A geometry-optimized SrIrI2N structure. Source: Alexandria, functional GGA-PBE.

Cell: 5.862 5.862 3.792 Å, 90.00 90.00 90.00°
Element x y z (fractional)
1 Ir 0.000 0.000 0.000
2 I 0.500 0.000 0.000
3 I 0.000 0.500 0.000
4 N 0.000 0.000 0.500
5 Sr 0.500 0.500 0.500

Properties
The formation energy (no corrections) is -0.2811 eV per atom. The polymorph energy (0 for the lowest one) is 0.000 eV per atom. Its symmetry is P4/mmm, No. 123. The value obtained for the total energy is -23.37 eV/cell. The total moment is 0.0 μB/f.u.

---

No. 5
A geometry-optimized PIrRu structure. Source: Alexandria, functional GGA-PBE.

Cell: 3.941 3.941 3.941 Å, 60.00 60.00 60.00°
Element x y z (fractional)
1 Ru 0.000 0.000 0.000
2 Ir 0.500 0.500 0.500
3 P 0.750 0.750 0.750

Properties
The polymorph energy (0 for the lowest one) is 0.000 eV per atom. Its symmetry is F-43m, No. 216. The formation energy is -0.37 eV/atom. The value obtained for the total energy is -24.64 eV/cell. The total moment is 0.0 μB/f.u.

---

No. 6
A geometry-optimized RbTlHBr2 structure. Source: Alexandria, functional GGA-PBE.

Cell: 6.137 6.137 4.023 Å, 90.00 90.00 90.00°
Element x y z (fractional)
1 Br 0.000 0.500 0.000
2 Br 0.500 0.000 0.000
3 Tl 0.000 0.000 0.000
4 H 0.000 0.000 0.500
5 Rb 0.500 0.500 0.500

Properties
Its symmetry is P4/mmm, No. 123. The value obtained for the total energy is -13.99 eV/cell. The total moment is 0.0 μB/f.u.

---

No. 7
A geometry-optimized Pr2HoPt2 structure. Source: Alexandria, functional GGA-PBE.

Cell: 4.031 6.229 6.229 Å, 66.24 71.12 71.12°
Element x y z (fractional)
1 Pr 0.807 0.693 0.693
2 Pr 0.193 0.307 0.307
3 Pt 0.500 0.711 0.289
4 Pt 0.500 0.289 0.711
5 Ho 0.000 0.000 0.000

Properties
Its symmetry is Immm, No. 71. The formation energy is -0.93 eV/atom. The value obtained for the total energy is -30.89 eV/cell. The total moment is 0.0 μB/f.u.

---

No. 8
A geometry-optimized KCu4Ag3Br12 structure. Source: Alexandria, functional GGA-PBE.

Cell: 9.006 9.006 9.006 Å, 104.80 104.80 104.80°
Element x y z (fractional)
1 Cu 0.500 0.500 0.500
2 Cu 0.079 0.500 0.921
3 Cu 0.921 0.079 0.500
4 Cu 0.500 0.921 0.079
5 Ag 0.000 0.568 0.432
6 Ag 0.432 0.000 0.568
7 Ag 0.568 0.432 0.000
8 Br 0.356 0.993 0.245
9 Br 0.664 0.500 0.336
10 Br 0.007 0.644 0.755
11 Br 0.913 0.500 0.087
12 Br 0.644 0.755 0.007
13 Br 0.755 0.007 0.644
14 Br 0.500 0.336 0.664
15 Br 0.336 0.664 0.500
16 Br 0.993 0.245 0.356
17 Br 0.500 0.087 0.913
18 Br 0.087 0.913 0.500
19 Br 0.245 0.356 0.993
20 K 0.000 0.000 0.000

Properties
The formation energy (no corrections) is -0.3974 eV per atom. Its symmetry is R32, No. 155. The value obtained for the total energy is -54.06 eV/cell. The total moment is 0.0 μB/f.u.

---

No. 9
A geometry-optimized LiPrGdPt structure. Source: Alexandria, functional GGA-PBE.

Cell: 5.112 5.112 5.112 Å, 60.00 60.00 60.00°
Element x y z (fractional)
1 Gd 0.000 0.000 0.000
2 Pr 0.500 0.500 0.500
3 Pt 0.750 0.750 0.750
4 Li 0.250 0.250 0.250

Properties
Its symmetry is F-43m, No. 216. The formation energy is -0.56 eV/atom. The value obtained for the total energy is -29.05 eV/cell. The total moment is 7.1 μB/f.u.

---

No. 10
A geometry-optimized KTa2In structure. Source: Alexandria, functional GGA-PBE.

Cell: 6.111 6.111 2.831 Å, 90.00 90.00 121.02°
Element x y z (fractional)
1 In 0.500 0.000 0.500
2 Ta 0.000 0.000 0.000
3 Ta 0.500 0.500 0.000
4 K 0.000 0.500 0.500

Properties
Its symmetry is Cmmm, No. 65. The formation energy is 1.16 eV/atom. The value obtained for the total energy is -22.88 eV/cell. The total moment is 0.9 μB/f.u.

---

No. 11
A geometry-optimized Tb4PmSc structure. Source: Alexandria, functional GGA-PBE.

Cell: 3.445 5.927 10.034 Å, 86.35 80.11 73.11°
Element x y z (fractional)
1 Tb 0.154 0.030 0.662
2 Tb 0.655 0.539 0.150
3 Tb 0.345 0.461 0.850
4 Tb 0.846 0.970 0.338
5 Sc 0.000 0.000 0.000
6 Pm 0.500 0.500 0.500

Properties
The polymorph energy (0 for the lowest one) is 0.066 eV per atom. Its symmetry is C2/m, No. 12. The formation energy is 0.20 eV/atom. The value obtained for the total energy is -28.40 eV/cell. The total moment is 0.0 μB/f.u.

---

No. 12
A geometry-optimized Mg2Cd5In5 structure. Source: Alexandria, functional GGA-PBE.

Cell: 4.494 7.315 9.822 Å, 71.06 76.78 72.11°
Element x y z (fractional)
1 Cd 0.745 0.251 0.259
2 Cd 0.832 0.834 0.501
3 Cd 0.000 0.000 0.000
4 Cd 0.168 0.166 0.499
5 Cd 0.255 0.749 0.741
6 In 0.334 0.334 0.998
7 In 0.666 0.666 0.002
8 In 0.416 0.917 0.250
9 In 0.584 0.083 0.750
10 In 0.500 0.500 0.500
11 Mg 0.084 0.580 0.252
12 Mg 0.916 0.420 0.748

Properties
Its symmetry is C2/m, No. 12. The formation energy is -0.01 eV/atom. The value obtained for the total energy is -21.61 eV/cell. The total moment is 0.0 μB/f.u.